[1]
Ho2ErAgHg4 after structural relaxation. Source: the Alexandria database, functional PBE-GGA.

Computed properties:
The calculation puts the calculated volume at 191.51 Å³ per cell. The calculation puts the calculated total energy at -2.6174 eV per atom. The calculation puts the density at 12.203 g/cm³.

abc: 9.0114 9.0114 9.0114
angles: 32.84 32.84 32.84
Closest atoms and distances in Å follow each position.
Positions (direct):
1 Ho 0.2428 0.2428 0.2428  8 Hg 3.05-3.30
2 Ho 0.7572 0.7572 0.7572  8 Hg 3.05-3.30
3 Er 0.0000 0.0000 0.0000  8 Hg 3.10-3.15
4 Ag 0.5000 0.5000 0.5000  8 Hg 3.14-3.27
5 Hg 0.1234 0.1234 0.1234  4 Ho 3.05-3.06, 3 Ag 3.14, 1 Er 3.15
6 Hg 0.3721 0.3721 0.3721  3 Er 3.10, 4 Ho 3.23-3.30, 1 Ag 3.27
7 Hg 0.6279 0.6279 0.6279  3 Er 3.10, 4 Ho 3.23-3.30, 1 Ag 3.27
8 Hg 0.8766 0.8766 0.8766  4 Ho 3.05-3.06, 3 Ag 3.14, 1 Er 3.15

[2]
BaTbSc4S8 after structural relaxation. Source: the Alexandria database, functional PBE-GGA.

Computed properties:
The calculation puts the energy relative to the elements, uncorrected at -2467.1 kJ/mol of formula units. The calculation puts the calculated volume at 355.05 Å³ per cell. The calculation puts the density at 3.426 g/cm³.

abc: 8.0390 8.0390 8.0390
angles: 58.54 58.54 58.54
Closest atoms and distances in Å follow each position.
Positions (direct):
1 Ba 0.0000 0.0000 0.0000  4 S 2.83-2.84
2 Tb 0.6332 0.6332 0.6332  6 S 2.70-2.82
3 Sc 0.1267 0.6325 0.6325  6 S 2.54-2.75
4 Sc 0.2575 0.2575 0.2575  4 S 2.52-2.60
5 Sc 0.6325 0.1267 0.6325  6 S 2.54-2.75
6 Sc 0.6325 0.6325 0.1267  6 S 2.54-2.75
7 S 0.3829 0.3829 0.8660  3 Sc 2.52-2.75, 1 Tb 2.82
8 S 0.3829 0.8660 0.3829  3 Sc 2.52-2.75, 1 Tb 2.82
9 S 0.3879 0.3879 0.3879  4 Sc 2.60-2.75
10 S 0.4392 0.8707 0.8707  2 Sc 2.54, 1 Tb 2.70
11 S 0.8576 0.8576 0.8576  3 Sc 2.54, 1 Ba 2.83
12 S 0.8660 0.3829 0.3829  3 Sc 2.52-2.75, 1 Tb 2.82
13 S 0.8707 0.4392 0.8707  2 Sc 2.54, 1 Tb 2.70
14 S 0.8707 0.8707 0.4392  2 Sc 2.54, 1 Tb 2.70

[3]
CaSbW2Au after structural relaxation. Source: the Alexandria database, functional PBE-GGA.

Computed properties:
The calculation puts the energy relative to the elements, uncorrected at 121.4 kJ/mol of formula units. The calculation puts the calculated volume at 106.14 Å³ per cell. The calculation puts the density at 11.366 g/cm³.

abc: 3.0998 5.6379 6.2455
angles: 89.98 89.91 76.52
Closest atoms and distances in Å follow each position.
Positions (direct):
1 Ca 0.0000 0.0000 0.0000  2 Ca 3.10, 2 Au 3.16, 2 Sb 3.23-3.24, 4 W 3.30-3.43
2 Sb 0.5099 0.5014 0.2358  1 Au 2.77, 4 W 2.84-2.96
3 W 0.1810 0.1816 0.5097  2 W 2.51-2.52
4 W 0.8376 0.8203 0.5101  2 W 2.51-2.52
5 Au 0.5078 0.5012 0.7930  1 Sb 2.77, 4 W 2.87-3.00

[4]
Ce2PmTc9 after structural relaxation. Source: the Alexandria database, functional PBE-GGA.

Computed properties:
The calculation puts the calculated volume at 221.13 Å³ per cell. The calculation puts the calculated total energy at -9.1408 eV per atom. The calculation puts the density at 9.816 g/cm³.

abc: 5.1310 5.4200 9.1829
angles: 90.18 104.97 115.31
Closest atoms and distances in Å follow each position.
Positions (direct):
1 Ce 0.2111 0.3610 0.0707  12 Tc 3.01-3.29, 2 Ce 3.16-3.31
2 Ce 0.7889 0.6390 0.9293  12 Tc 3.01-3.29, 2 Ce 3.16-3.31
3 Pm 0.5000 0.5000 0.5000  10 Tc 3.07-3.35
4 Tc 0.1567 0.5776 0.7361  5 Tc 2.60-2.84
5 Tc 0.1595 0.0990 0.7509  6 Tc 2.50-2.71
6 Tc 0.1973 0.8775 0.5124  7 Tc 2.58-2.88
7 Tc 0.3330 0.9161 0.2463  5 Tc 2.50-2.69
8 Tc 0.5000 0.0000 0.0000  4 Tc 2.59-2.71
9 Tc 0.6670 0.0839 0.7537  5 Tc 2.50-2.69
10 Tc 0.8027 0.1225 0.4876  7 Tc 2.58-2.88
11 Tc 0.8405 0.9010 0.2491  6 Tc 2.50-2.71
12 Tc 0.8433 0.4224 0.2639  5 Tc 2.60-2.84

[5]
Cs2Pu2TlO7 after structural relaxation. Source: the Alexandria database, functional PBE-GGA.

Computed properties:
The calculation puts the energy relative to the elements, uncorrected at -2570.3 kJ/mol of formula units. The calculation puts the calculated volume at 227.04 Å³ per cell. The calculation puts the density at 7.827 g/cm³.

abc: 12.4102 12.4102 12.4102
angles: 159.83 159.83 28.67
Closest atoms and distances in Å follow each position.
Positions (direct):
1 Cs 0.1887 0.1887 0.0000  9 O 3.11-3.40
2 Cs 0.8113 0.8113 0.0000  9 O 3.11-3.40
3 Pu 0.4113 0.4113 0.0000  6 O 1.96-2.17
4 Pu 0.5887 0.5887 0.0000  6 O 1.96-2.17
5 Tl 0.0000 0.0000 0.0000  12 O 3.05-3.07
6 O 0.0892 0.5892 0.5000  2 Pu 2.17
7 O 0.3299 0.3299 0.0000  1 Pu 1.96
8 O 0.4108 0.9108 0.5000  2 Pu 2.17
9 O 0.5000 0.5000 0.0000  2 Pu 2.13
10 O 0.5892 0.0892 0.5000  2 Pu 2.17
11 O 0.6701 0.6701 0.0000  1 Pu 1.96
12 O 0.9108 0.4108 0.5000  2 Pu 2.17

[6]
Tb3CoNi after structural relaxation. Source: the Alexandria database, functional PBE-GGA.

Computed properties:
The calculation puts the calculated volume at 226.76 Å³ per cell. The calculation puts the calculated total energy at -5.6053 eV per atom. The calculation puts the density at 8.705 g/cm³.

abc: 3.8072 5.7091 10.9564
angles: 104.37 99.91 91.18
Closest atoms and distances in Å follow each position.
Positions (direct):
1 Tb 0.0508 0.2970 0.1052  2 Ni 2.77-2.79, 1 Co 2.91
2 Tb 0.2258 0.2244 0.4523  4 Co 2.85-3.08, 3 Ni 2.85-2.97
3 Tb 0.3978 0.1575 0.7955  2 Co 2.73-2.76, 1 Ni 2.94
4 Tb 0.6022 0.8425 0.2045  2 Co 2.73-2.76, 1 Ni 2.94
5 Tb 0.7742 0.7756 0.5477  4 Co 2.85-3.08, 3 Ni 2.85-2.97
6 Tb 0.9492 0.7030 0.8948  2 Ni 2.77-2.79, 1 Co 2.91
7 Co 0.1726 0.6751 0.3442  2 Ni 2.41-2.44
8 Co 0.8274 0.3249 0.6558  2 Ni 2.41-2.44
9 Ni 0.3529 0.5967 0.7010  2 Co 2.41-2.44
10 Ni 0.6471 0.4033 0.2990  2 Co 2.41-2.44

[7]
Sr2Zn4BiAu3 after structural relaxation. Source: the Alexandria database, functional PBE-GGA.

Computed properties:
The calculation puts the calculated volume at 231.97 Å³ per cell. The calculation puts the calculated total energy at -2.6711 eV per atom. The calculation puts the density at 8.853 g/cm³.

abc: 4.5756 4.5756 11.0799
angles: 90.00 90.00 90.00
Closest atoms and distances in Å follow each position.
Positions (direct):
1 Sr 0.0000 0.5000 0.2386  8 Zn 3.47-3.50, 6 Au 3.49-3.69, 2 Bi 3.69
2 Sr 0.5000 0.0000 0.7614  8 Zn 3.47-3.50, 6 Au 3.49-3.69, 2 Bi 3.69
3 Zn 0.0000 0.0000 0.0000  4 Au 2.65
4 Zn 0.0000 0.5000 0.6484  3 Au 2.55-2.82, 2 Bi 2.82
5 Zn 0.5000 0.0000 0.3515  3 Au 2.55-2.82, 2 Bi 2.82
6 Zn 0.5000 0.5000 0.0000  4 Au 2.65
7 Bi 0.0000 0.0000 0.5000  4 Zn 2.82
8 Au 0.0000 0.5000 0.8787  5 Zn 2.55-2.65
9 Au 0.5000 0.0000 0.1213  5 Zn 2.55-2.65
10 Au 0.5000 0.5000 0.5000  4 Zn 2.82

[8]
Hf2Ti2Sb after structural relaxation. Source: the Alexandria database, functional PBE-GGA.

Computed properties:
The calculation puts the energy relative to the elements, uncorrected at -59.6 kJ/mol of formula units. The calculation puts the calculated volume at 203.50 Å³ per cell. The calculation puts the density at 9.375 g/cm³.

abc: 7.1038 7.1038 4.0325
angles: 90.00 90.00 90.00
Closest atoms and distances in Å follow each position.
Positions (direct):
1 Hf 0.1665 0.3335 0.0000  6 Ti 2.86-2.93
2 Hf 0.3335 0.8335 0.0000  6 Ti 2.86-2.93
3 Hf 0.6665 0.1665 0.0000  6 Ti 2.86-2.93
4 Hf 0.8335 0.6665 0.0000  6 Ti 2.86-2.93
5 Ti 0.1310 0.6310 0.5000  1 Ti 2.63, 2 Sb 2.78, 6 Hf 2.86-2.93
6 Ti 0.3690 0.1310 0.5000  1 Ti 2.63, 2 Sb 2.78, 6 Hf 2.86-2.93
7 Ti 0.6310 0.8690 0.5000  1 Ti 2.63, 2 Sb 2.78, 6 Hf 2.86-2.93
8 Ti 0.8690 0.3690 0.5000  1 Ti 2.63, 2 Sb 2.78, 6 Hf 2.86-2.93
9 Sb 0.0000 0.0000 0.5000  4 Ti 2.78
10 Sb 0.5000 0.5000 0.5000  4 Ti 2.78

[9]
HgAsSe2 after structural relaxation. Source: the Alexandria database, functional PBE-GGA.

Computed properties:
The calculation puts the energy relative to the elements, uncorrected at 29.3 kJ/mol of formula units. The calculation puts the calculated volume at 239.63 Å³ per cell. The calculation puts the density at 6.007 g/cm³.

abc: 8.2832 8.2832 8.2832
angles: 139.27 139.27 58.96
Closest atoms and distances in Å follow each position.
Positions (direct):
1 Hg 0.0000 0.0000 0.0000  4 Se 2.82
2 Hg 0.7500 0.2500 0.5000  4 Se 2.82
3 As 0.2500 0.7500 0.5000  4 Se 2.63
4 As 0.5000 0.5000 0.0000  4 Se 2.63
5 Se 0.1550 0.6250 0.0300  2 As 2.63, 2 Hg 2.82
6 Se 0.3750 0.4050 0.5300  2 As 2.63, 2 Hg 2.82
7 Se 0.5950 0.1250 0.9700  2 As 2.63, 2 Hg 2.82
8 Se 0.8750 0.8450 0.4700  2 As 2.63, 2 Hg 2.82

[10]
CeReP2Ru after structural relaxation. Source: the Alexandria database, functional PBE-GGA.

Computed properties:
The calculation puts the calculated volume at 83.67 Å³ per cell. The calculation puts the calculated total energy at -8.5497 eV per atom. The calculation puts the density at 9.711 g/cm³.

abc: 5.6880 5.6880 5.6880
angles: 137.29 137.29 61.99
Closest atoms and distances in Å follow each position.
Positions (direct):
1 Ce 0.0000 0.0000 0.0000  4 Re 3.20, 4 Ru 3.20, 8 P 3.20
2 Re 0.7500 0.2500 0.5000  4 P 2.37
3 P 0.3679 0.3679 0.0000  2 Re 2.37, 2 Ru 2.37, 1 P 2.58
4 P 0.6321 0.6321 0.0000  2 Re 2.37, 2 Ru 2.37, 1 P 2.58
5 Ru 0.2500 0.7500 0.5000  4 P 2.37

[11]
InPb2 after structural relaxation. Source: the Alexandria database, functional PBE-GGA.

Computed properties:
The calculation puts the calculated volume at 745.07 Å³ per cell. The calculation puts the calculated total energy at -3.3137 eV per atom. The calculation puts the density at 9.436 g/cm³.

abc: 10.1759 10.1759 10.1759
angles: 60.00 60.00 60.00
Closest atoms and distances in Å follow each position.
Positions (direct):
1 In 0.1483 0.7839 0.7839  6 Pb 3.19-3.24
2 In 0.2161 0.2161 0.2161  6 Pb 3.19-3.24
3 In 0.2161 0.2161 0.8517  6 Pb 3.19-3.24
4 In 0.2161 0.8517 0.2161  6 Pb 3.19-3.24
5 In 0.7839 0.1483 0.7839  6 Pb 3.19-3.24
6 In 0.7839 0.7839 0.1483  6 Pb 3.19-3.24
7 In 0.7839 0.7839 0.7839  6 Pb 3.19-3.24
8 In 0.8517 0.2161 0.2161  6 Pb 3.19-3.24
9 Pb 0.0000 0.0000 0.0000  6 In 3.19
10 Pb 0.0000 0.0000 0.5000  6 In 3.19
11 Pb 0.0000 0.5000 0.0000  6 In 3.19
12 Pb 0.1977 0.1977 0.5523  2 In 3.24, 4 Pb 3.61
13 Pb 0.1977 0.5523 0.1977  2 In 3.24, 4 Pb 3.61
14 Pb 0.1977 0.5523 0.5523  2 In 3.24, 4 Pb 3.61
15 Pb 0.4477 0.4477 0.8023  2 In 3.24, 4 Pb 3.61
16 Pb 0.4477 0.8023 0.4477  2 In 3.24, 4 Pb 3.61
17 Pb 0.4477 0.8023 0.8023  2 In 3.24, 4 Pb 3.61
18 Pb 0.5000 0.0000 0.0000  6 In 3.19
19 Pb 0.5523 0.1977 0.1977  2 In 3.24, 4 Pb 3.61
20 Pb 0.5523 0.1977 0.5523  2 In 3.24, 4 Pb 3.61
21 Pb 0.5523 0.5523 0.1977  2 In 3.24, 4 Pb 3.61
22 Pb 0.8023 0.4477 0.4477  2 In 3.24, 4 Pb 3.61
23 Pb 0.8023 0.4477 0.8023  2 In 3.24, 4 Pb 3.61
24 Pb 0.8023 0.8023 0.4477  2 In 3.24, 4 Pb 3.61